Computed, not measured: crystalline CrCdSO2 at its relaxed geometry at the PBE+U level of DFT.

a = 3.661 Å, b = 3.661 Å, c = 8.274 Å
α = 90.00°, β = 90.00°, γ = 90.00°
Positions (direct):
Cr 0.000 0.000 0.000
Cd 0.000 0.000 0.500
S 0.500 0.500 0.500
O 0.000 0.500 0.000
O 0.500 0.000 0.000

Summary:
Space group ... P4/mmm


Computed, not measured: crystalline Cr2CdSbO6 at its relaxed geometry at the PBE+U level of DFT.

a = 5.579 Å, b = 5.579 Å, c = 5.579 Å
α = 58.14°, β = 58.14°, γ = 58.14°
Positions (direct):
Cr 0.000 0.000 0.000
Cr 0.495 0.495 0.495
Cd 0.225 0.225 0.225
Sb 0.707 0.707 0.707
O 0.136 0.364 0.764
O 0.292 0.848 0.650
O 0.364 0.764 0.136
O 0.650 0.292 0.848
O 0.764 0.136 0.364
O 0.848 0.650 0.292

Summary:
Space group ... R3


Computed, not measured: crystalline CrCd2SbO6 at its relaxed geometry at the PBE+U level of DFT.

a = 5.584 Å, b = 5.584 Å, c = 4.061 Å
α = 90.00°, β = 90.00°, γ = 90.00°
Positions (direct):
Cr 0.000 0.000 0.000
Cd 0.000 0.500 0.402
Cd 0.500 0.000 0.402
Sb 0.500 0.500 0.998
O 0.000 0.000 0.519
O 0.253 0.253 0.053
O 0.253 0.747 0.053
O 0.500 0.500 0.516
O 0.747 0.253 0.053
O 0.747 0.747 0.053

Summary:
Space group ... P4mm


Computed, not measured: crystalline Cr2CdSeO8 at its relaxed geometry at the PBE+U level of DFT.

a = 4.681 Å, b = 4.681 Å, c = 6.491 Å
α = 96.64°, β = 96.64°, γ = 80.71°
Positions (direct):
Cr 0.057 0.057 0.230
Cr 0.943 0.943 0.770
Cd 0.500 0.500 0.000
Se 0.500 0.500 0.500
O 0.171 0.171 0.007
O 0.250 0.250 0.475
O 0.267 0.694 0.286
O 0.306 0.733 0.714
O 0.694 0.267 0.286
O 0.733 0.306 0.714
O 0.750 0.750 0.525
O 0.829 0.829 0.993

Summary:
Space group ... C2/m


Computed, not measured: crystalline CrCdSe2O8 at its relaxed geometry at the PBE+U level of DFT.

a = 5.948 Å, b = 5.948 Å, c = 5.948 Å
α = 106.23°, β = 106.23°, γ = 116.18°
Positions (direct):
Cr 0.000 0.000 0.000
Cd 0.750 0.250 0.500
Se 0.250 0.750 0.500
Se 0.500 0.500 0.000
O 0.081 0.398 0.317
O 0.081 0.764 0.683
O 0.149 0.328 0.821
O 0.236 0.919 0.317
O 0.507 0.328 0.179
O 0.602 0.919 0.683
O 0.672 0.493 0.821
O 0.672 0.851 0.179

Summary:
Space group ... I-4m2


Computed, not measured: crystalline Cr3Cd3SiO8 at its relaxed geometry at the PBE+U level of DFT.

a = 6.283 Å, b = 6.391 Å, c = 6.446 Å
α = 118.64°, β = 118.33°, γ = 91.19°
Positions (direct):
Cr 0.000 0.000 0.000
Cr 0.000 0.500 0.500
Cr 0.500 0.000 0.000
Cd 0.000 0.500 0.000
Cd 0.500 0.000 0.500
Cd 0.500 0.500 0.000
Si 0.500 0.500 0.500
O 0.223 0.762 0.952
O 0.266 0.669 0.470
O 0.305 0.265 0.105
O 0.322 0.300 0.532
O 0.678 0.700 0.468
O 0.695 0.735 0.895
O 0.734 0.331 0.530
O 0.777 0.238 0.048

Summary:
Space group ... P-1


Computed, not measured: crystalline CrCd2SiO6 at its relaxed geometry at the PBE+U level of DFT.

a = 5.010 Å, b = 5.010 Å, c = 4.629 Å
α = 90.00°, β = 90.00°, γ = 90.00°
Positions (direct):
Cr 0.000 0.000 0.000
Cd 0.000 0.500 0.450
Cd 0.500 0.000 0.450
Si 0.500 0.500 0.972
O 0.000 0.000 0.581
O 0.266 0.266 0.079
O 0.266 0.734 0.079
O 0.500 0.500 0.613
O 0.734 0.266 0.079
O 0.734 0.734 0.079

Summary:
Space group ... P4mm


Computed, not measured: crystalline CrCd2SnO4 at its relaxed geometry at the PBE+U level of DFT.

a = 5.728 Å, b = 5.334 Å, c = 5.531 Å
α = 63.60°, β = 56.53°, γ = 59.87°
Positions (direct):
Cr 0.000 0.000 0.000
Cd 0.285 0.285 0.215
Cd 0.785 0.785 0.715
Sn 0.582 0.582 0.418
O 0.191 0.638 0.809
O 0.324 0.864 0.136
O 0.638 0.191 0.362
O 0.864 0.324 0.676

Summary:
Space group ... Fmm2


Computed, not measured: crystalline Cr2CdSnO6 at its relaxed geometry at the PBE+U level of DFT.

a = 5.629 Å, b = 5.629 Å, c = 5.629 Å
α = 56.65°, β = 56.65°, γ = 56.65°
Positions (direct):
Cr 0.000 0.000 0.000
Cr 0.496 0.496 0.496
Cd 0.275 0.275 0.275
Sn 0.794 0.794 0.794
O 0.107 0.383 0.730
O 0.211 0.847 0.644
O 0.383 0.730 0.107
O 0.644 0.211 0.847
O 0.730 0.107 0.383
O 0.847 0.644 0.211

Summary:
Space group ... R3


Computed, not measured: crystalline SrCr2CdO at its relaxed geometry at the PBE+U level of DFT.

a = 5.076 Å, b = 5.076 Å, c = 6.443 Å
α = 90.00°, β = 90.00°, γ = 90.00°
Positions (direct):
Sr 0.000 0.000 0.000
Cr 0.000 0.500 0.500
Cr 0.500 0.000 0.500
Cd 0.000 0.000 0.500
O 0.500 0.500 0.000

Summary:
Space group ... P4/mmm


Computed, not measured: crystalline TaCr2CdO6 at its relaxed geometry at the PBE+U level of DFT.

a = 5.244 Å, b = 5.360 Å, c = 5.638 Å
α = 65.34°, β = 89.16°, γ = 61.08°
Positions (direct):
Ta 0.000 0.000 0.000
Cr 0.197 0.594 0.601
Cr 0.694 0.612 0.072
Cd 0.458 0.063 0.436
O 0.041 0.561 0.278
O 0.298 0.786 0.818
O 0.396 0.772 0.285
O 0.652 0.052 0.825
O 0.800 0.155 0.261
O 0.948 0.428 0.833

Summary:
Space group ... P1


Computed, not measured: crystalline TaCrCdO6 at its relaxed geometry at the PBE+U level of DFT.

a = 4.788 Å, b = 4.788 Å, c = 9.442 Å
α = 90.00°, β = 90.00°, γ = 90.00°
Positions (direct):
Ta 0.000 0.000 0.000
Ta 0.500 0.500 0.500
Cr 0.000 0.000 0.327
Cr 0.500 0.500 0.827
Cd 0.000 0.000 0.661
Cd 0.500 0.500 0.161
O 0.176 0.176 0.170
O 0.215 0.215 0.472
O 0.232 0.232 0.856
O 0.268 0.732 0.356
O 0.285 0.715 0.972
O 0.324 0.676 0.670
O 0.676 0.324 0.670
O 0.715 0.285 0.972
O 0.732 0.268 0.356
O 0.768 0.768 0.856
O 0.785 0.785 0.472
O 0.824 0.824 0.170

Summary:
Space group ... P4_2nm


| no. | ρ (g cm⁻³) | energy (eV/atom) |
| --- | --- | --- |
| 1 | 3.42 | -5.18 |
| 2 | 6.13 | -6.51 |
| 3 | 6.49 | -5.50 |
| 4 | 5.07 | -5.92 |
| 5 | 4.66 | -5.41 |
| 6 | 5.69 | -6.22 |
| 7 | 5.73 | -5.97 |
| 8 | 6.44 | -5.26 |
| 9 | 6.15 | -6.62 |
| 10 | 3.20 | -3.74 |
| 11 | 6.69 | -7.77 |
| 12 | 6.77 | -7.32 |